No. 1
K2Tl12Pb (PBE, optimized geometry); mass density = 8.65 g cm⁻³; E = -2.2724 eV per atom; energy relative to the elements = 0.01 eV per atom
1.0
7.0208 0.0000 0.0000
0.0000 7.0208 0.0000
0.0000 0.0000 21.3148
K Tl Pb
4 24 2
direct
0.2500 0.7500 0.2364
0.2500 0.7500 0.7636
0.7500 0.2500 0.2364
0.7500 0.2500 0.7636
0.0005 0.5005 0.4003
0.0005 0.9995 0.5997
0.0839 0.5839 0.0634
0.0839 0.9161 0.9366
0.2500 0.2500 0.1548
0.2500 0.2500 0.3025
0.2500 0.2500 0.6975
0.2500 0.2500 0.8452
0.4161 0.5839 0.9366
0.4161 0.9161 0.0634
0.4995 0.5005 0.5997
0.4995 0.9995 0.4003
0.5005 0.0005 0.5997
0.5005 0.4995 0.4003
0.5839 0.0839 0.9366
0.5839 0.4161 0.0634
0.7500 0.7500 0.1548
0.7500 0.7500 0.3025
0.7500 0.7500 0.6975
0.7500 0.7500 0.8452
0.9161 0.0839 0.0634
0.9161 0.4161 0.9366
0.9995 0.0005 0.4003
0.9995 0.4995 0.5997
0.2500 0.7500 0.5000
0.7500 0.2500 0.5000



No. 2
CdSbPd2 (PBE, optimized geometry); formation energy without anion corrections = -0.12 eV/atom; mass density = 9.17 g cm⁻³; E = -3.9738 eV per atom
1.0
-3.7154 3.7154 2.9314
3.7154 -3.7154 2.9314
3.7154 3.7154 -2.9314
Cd Sb Pd
2 2 4
direct
0.0000 0.0000 0.0000
0.7500 0.2500 0.5000
0.2500 0.7500 0.5000
0.5000 0.5000 0.0000
0.1363 0.6250 0.0113
0.3750 0.3863 0.5113
0.6137 0.1250 0.9887
0.8750 0.8637 0.4887



No. 3
Ba2TaRu (PBE, optimized geometry); mass density = 8.73 g cm⁻³; E = -5.0231 eV per atom; energy relative to the lowest polymorph listed for this composition = 958.1 meV per atom; energy relative to the elements = 1.22 eV per atom
1.0
3.3749 0.0000 0.0000
0.0000 5.3268 0.0000
-0.9438 0.0000 5.8926
Ba Ta Ru
2 1 1
direct
0.0994 0.0000 0.2582
0.9006 0.0000 0.7418
0.5000 0.5000 0.0000
0.5000 0.5000 0.5000



No. 4
YZnH8Rh4 (PBE, optimized geometry); mass density = 7.54 g cm⁻³; E = -4.7782 eV per atom
1.0
2.8679 1.6558 4.4368
-2.8679 1.6558 4.4368
0.0000 -3.3116 4.4368
Y Zn H Rh
1 1 8 4
direct
0.0000 0.0000 0.0000
0.6060 0.6060 0.6060
0.3033 0.3033 0.8819
0.3033 0.8819 0.3033
0.3792 0.3792 0.3792
0.4633 0.8462 0.8462
0.8379 0.8379 0.8379
0.8462 0.4633 0.8462
0.8462 0.8462 0.4633
0.8819 0.3033 0.3033
0.1205 0.6160 0.6160
0.2448 0.2448 0.2448
0.6160 0.1205 0.6160
0.6160 0.6160 0.1205



No. 5
RbSnH2F8 (PBE, optimized geometry); mass density = 3.29 g cm⁻³; E = -4.1683 eV per atom
1.0
4.0091 -2.5823 0.0000
4.0091 2.5823 0.0000
-0.4026 0.0000 8.7437
Rb Sn H F
1 1 2 8
direct
0.0000 0.0000 0.0000
0.0000 0.0000 0.5000
0.4926 0.4926 0.3283
0.5074 0.5074 0.6716
0.2388 0.2388 0.4995
0.2669 0.7161 0.3260
0.2839 0.7331 0.6740
0.3744 0.3744 0.9853
0.6256 0.6256 0.0147
0.7161 0.2669 0.3260
0.7331 0.2839 0.6740
0.7612 0.7612 0.5005



No. 6
K2Tl2Au (PBE, optimized geometry); mass density = 5.71 g cm⁻³; E = -1.9206 eV per atom; energy relative to the lowest polymorph listed for this composition = 282.3 meV per atom; energy relative to the elements = 0.12 eV per atom
1.0
8.4084 0.0000 0.0000
0.0000 8.4084 0.0000
0.0000 0.0000 5.6312
K Tl Au
4 4 2
direct
0.1644 0.3356 0.0000
0.3356 0.8356 0.0000
0.6644 0.1644 0.0000
0.8356 0.6644 0.0000
0.1424 0.6424 0.5000
0.3576 0.1424 0.5000
0.6424 0.8576 0.5000
0.8576 0.3576 0.5000
0.0000 0.0000 0.0000
0.5000 0.5000 0.0000



No. 7
CdGe2Ir2 (PBE, optimized geometry); mass density = 11.48 g cm⁻³; E = -5.6681 eV per atom; energy relative to the lowest polymorph listed for this composition = 33.2 meV per atom; energy relative to the elements = -0.09 eV per atom
1.0
4.5383 -4.2526 0.0000
4.5383 4.2526 0.0000
-2.2130 0.0000 4.8129
Cd Ge Ir
2 4 4
direct
0.1162 0.8838 0.7500
0.8838 0.1162 0.2500
0.1703 0.3920 0.8991
0.3920 0.1703 0.3991
0.6080 0.8297 0.6009
0.8297 0.6080 0.1009
0.2163 0.7837 0.2500
0.4448 0.5552 0.7500
0.5552 0.4448 0.2500
0.7837 0.2163 0.7500



No. 8
RbFe2Au (PBE, optimized geometry); mass density = 6.04 g cm⁻³; E = -4.5132 eV per atom; energy relative to the elements = 0.78 eV per atom
1.0
-2.4226 2.4226 9.2365
2.4226 -2.4226 9.2365
2.4226 2.4226 -9.2365
Rb Fe Au
2 4 2
direct
0.3750 0.6250 0.7500
0.6250 0.3750 0.2500
0.0000 0.0000 0.0000
0.0000 0.0000 0.5000
0.0000 0.5000 0.0000
0.5000 0.0000 0.5000
0.1250 0.8750 0.2500
0.8750 0.1250 0.7500



No. 9
InSbF3 (PBE, optimized geometry); formation energy without anion corrections = -1.38 eV/atom; mass density = 5.56 g cm⁻³; E = -3.8763 eV per atom; energy relative to the lowest polymorph listed for this composition = 191.4 meV per atom
1.0
4.4428 0.0000 0.0000
0.0000 4.4428 0.0000
0.0000 0.0000 4.4428
In Sb F
1 1 3
direct
0.0000 0.0000 0.0000
0.5000 0.5000 0.5000
0.0000 0.0000 0.5000
0.0000 0.5000 0.0000
0.5000 0.0000 0.0000



No. 10
MnFeNiPt (PBE, optimized geometry); mass density = 11.15 g cm⁻³; E = -7.4320 eV per atom; energy relative to the elements = -0.07 eV per atom
1.0
0.0000 3.0051 3.0051
3.0051 0.0000 3.0051
3.0051 3.0051 0.0000
Mn Fe Ni Pt
1 1 1 1
direct
0.0000 0.0000 0.0000
0.5000 0.5000 0.5000
0.2500 0.2500 0.2500
0.7500 0.7500 0.7500



No. 11
Fe3Ni3Pd2 (PBE, optimized geometry); mass density = 9.19 g cm⁻³; E = -6.6867 eV per atom; energy relative to the elements = -0.05 eV per atom
1.0
3.6851 0.0000 0.0000
0.0000 3.7144 0.0000
0.0000 0.0000 7.3435
Fe Ni Pd
3 3 2
direct
0.0000 0.0000 0.0000
0.5000 0.0000 0.2518
0.5000 0.0000 0.7482
0.0000 0.0000 0.5000
0.5000 0.5000 0.0000
0.5000 0.5000 0.5000
0.0000 0.5000 0.2522
0.0000 0.5000 0.7478



No. 12
ScTcC2N (PBE, optimized geometry); formation energy without anion corrections = 1.88 eV/atom; mass density = 5.46 g cm⁻³; E = -6.8169 eV per atom
1.0
3.7715 0.0000 0.0000
0.0000 3.7715 0.0000
0.0000 0.0000 3.8662
Sc Tc C N
1 1 2 1
direct
0.0000 0.0000 0.0000
0.5000 0.5000 0.0000
0.0000 0.5000 0.5000
0.5000 0.0000 0.5000
0.0000 0.0000 0.5000



No. 13
K2SrRu (PBE, optimized geometry); mass density = 2.72 g cm⁻³; E = -2.2022 eV per atom; energy relative to the lowest polymorph listed for this composition = 445.8 meV per atom; energy relative to the elements = 1.09 eV per atom
1.0
1.9002 1.0971 13.0372
-1.9002 1.0971 13.0372
0.0000 -2.1941 13.0372
K Sr Ru
2 1 1
direct
0.2313 0.2313 0.2313
0.7687 0.7687 0.7687
0.0000 0.0000 0.0000
0.5000 0.5000 0.5000



No. 14
Ca2TmGa (PBE, optimized geometry); mass density = 3.89 g cm⁻³; E = -2.6594 eV per atom; energy relative to the elements = 0.22 eV per atom
1.0
1.7956 1.0367 12.1784
-1.7956 1.0367 12.1784
0.0000 -2.0734 12.1784
Ca Tm Ga
2 1 1
direct
0.0842 0.0842 0.0842
0.9158 0.9158 0.9158
0.5000 0.5000 0.5000
0.0000 0.0000 0.0000



No. 15
Ac2CeCd6 (PBE, optimized geometry); mass density = 8.30 g cm⁻³; E = -2.4706 eV per atom; energy relative to the elements = -0.29 eV per atom
1.0
8.9702 0.0000 0.0000
-4.4851 7.7684 0.0000
0.0000 0.0000 3.6428
Ac Ce Cd
2 1 6
direct
0.3333 0.6667 0.0000
0.6667 0.3333 0.0000
0.0000 0.0000 0.0000
0.0000 0.3281 0.5000
0.0000 0.6719 0.5000
0.3281 0.0000 0.5000
0.3281 0.3281 0.5000
0.6719 0.0000 0.5000
0.6719 0.6719 0.5000



No. 16
NdEr7Al5 (PBE, optimized geometry); mass density = 7.28 g cm⁻³; E = -4.4968 eV per atom; energy relative to the elements = -0.23 eV per atom
1.0
-3.0369 5.0871 5.3547
3.0369 -5.0871 5.3547
3.0369 5.0871 -5.3547
Nd Er Al
1 7 5
direct
0.0000 0.0000 0.0000
0.1996 0.5043 0.6952
0.2417 0.7417 0.5000
0.3495 0.3495 0.0000
0.3572 0.0185 0.3387
0.6705 0.6705 0.0000
0.6798 0.0185 0.6613
0.8091 0.5043 0.3048
0.0065 0.0148 0.4913
0.0065 0.5152 0.9918
0.5234 0.0148 0.0082
0.5234 0.5152 0.5087
0.7730 0.2730 0.5000



No. 17
LiHo2PuS4 (PBE, optimized geometry); formation energy without anion corrections = -1.85 eV/atom; mass density = 7.05 g cm⁻³; E = -7.0929 eV per atom
1.0
6.7375 0.0000 0.0000
0.0000 3.8976 0.0000
-2.2859 0.0000 6.3619
Li Ho Pu S
1 2 1 4
direct
0.0000 0.0000 0.0000
0.0000 0.5000 0.5000
0.5000 0.0000 0.5000
0.5000 0.5000 0.0000
0.2451 0.0000 0.7479
0.2448 0.5000 0.2512
0.7549 0.0000 0.2521
0.7552 0.5000 0.7488



No. 18
H2RhN (PBE, optimized geometry); mass density = 7.31 g cm⁻³; E = -4.3632 eV per atom; energy relative to the lowest polymorph listed for this composition = 447.2 meV per atom
1.0
0.0000 2.3815 2.3815
2.3815 0.0000 2.3815
2.3815 2.3815 0.0000
H Rh N
2 1 1
direct
0.2500 0.2500 0.2500
0.7500 0.7500 0.7500
0.0000 0.0000 0.0000
0.5000 0.5000 0.5000



No. 19
ZrNb2Ga (PBE, optimized geometry); mass density = 7.75 g cm⁻³; E = -8.1377 eV per atom; energy relative to the elements = -0.21 eV per atom
1.0
4.0145 0.0000 0.0000
0.0000 4.0145 0.0000
0.0000 0.0000 4.6120
Zr Nb Ga
1 2 1
direct
0.0000 0.0000 0.0000
0.0000 0.5000 0.5000
0.5000 0.0000 0.5000
0.5000 0.5000 0.0000



No. 20
Pa2GaFe2Co5 (PBE, optimized geometry); mass density = 11.14 g cm⁻³; E = -7.6669 eV per atom; energy relative to the elements = -0.22 eV per atom
1.0
8.5443 0.0000 0.0000
0.0000 8.5443 0.0000
0.0000 0.0000 3.8318
Pa Ga Fe Co
4 2 4 10
direct
0.1654 0.3346 0.0000
0.3346 0.8346 0.0000
0.6654 0.1654 0.0000
0.8346 0.6654 0.0000
0.0000 0.0000 0.0000
0.5000 0.5000 0.0000
0.1406 0.6406 0.0000
0.3594 0.1406 0.0000
0.6406 0.8594 0.0000
0.8594 0.3594 0.0000
0.0000 0.5000 0.5000
0.0730 0.8038 0.5000
0.1962 0.0730 0.5000
0.3038 0.5730 0.5000
0.4270 0.3038 0.5000
0.5000 0.0000 0.5000
0.5730 0.6962 0.5000
0.6962 0.4270 0.5000
0.8038 0.9270 0.5000
0.9270 0.1962 0.5000